# 1
Density functional theory data (PBE-GGA) for a relaxed Tb5Pr12Er crystal.

Lattice parameters (Å, degrees): 10.9747 5.1891 10.9880 90.00 90.21 90.00
Last column: nearest neighbours and their distance in Å.
Element x y z (fractional)
1 Tb 0.0000 0.0000 0.0000  8 Pr 3.64, 4 Tb 3.67
2 Tb 0.1666 0.5000 0.8334  8 Pr 3.64-3.65, 4 Tb 3.67
3 Tb 0.3337 0.0000 0.6663  8 Pr 3.63-3.65, 2 Er 3.66, 2 Tb 3.67
4 Tb 0.6663 0.0000 0.3337  8 Pr 3.63-3.65, 2 Er 3.66, 2 Tb 3.67
5 Tb 0.8334 0.5000 0.1666  8 Pr 3.64-3.65, 4 Tb 3.67
6 Pr 0.0020 0.0000 0.6683  4 Tb 3.64, 8 Pr 3.67-3.71
7 Pr 0.1650 0.5000 0.1652  4 Tb 3.64-3.65, 8 Pr 3.67-3.71
8 Pr 0.1690 0.5000 0.5019  1 Er 3.63, 3 Tb 3.64, 8 Pr 3.67-3.71
9 Pr 0.3315 0.0000 0.9981  4 Tb 3.64-3.65, 8 Pr 3.67-3.71
10 Pr 0.3358 0.0000 0.3357  2 Tb 3.63, 2 Er 3.64, 8 Pr 3.67-3.71
11 Pr 0.4980 0.5000 0.8311  3 Tb 3.64, 1 Er 3.64, 8 Pr 3.67-3.71
12 Pr 0.5020 0.5000 0.1689  3 Tb 3.64, 1 Er 3.64, 8 Pr 3.67-3.71
13 Pr 0.6642 0.0000 0.6643  2 Tb 3.63, 2 Er 3.64, 8 Pr 3.67-3.71
14 Pr 0.6685 0.0000 0.0019  4 Tb 3.64-3.65, 8 Pr 3.67-3.71
15 Pr 0.8310 0.5000 0.4981  1 Er 3.63, 3 Tb 3.64, 8 Pr 3.67-3.71
16 Pr 0.8350 0.5000 0.8348  4 Tb 3.64-3.65, 8 Pr 3.67-3.71
17 Pr 0.9980 0.0000 0.3317  4 Tb 3.64, 8 Pr 3.67-3.71
18 Er 0.5000 0.5000 0.5000  8 Pr 3.63-3.64, 4 Tb 3.66

E_tot (Ry/atom): -0.34587
N(E_F) (states/eV per cell): 29.1
E_form (eV/atom): 0.020
Density (kg/m³): 7040

# 2
Density functional theory data (PBE-GGA) for a relaxed Tb5Pr2Er12 crystal.

Lattice parameters (Å, degrees): 9.1022 9.1022 8.4969 91.18 91.18 60.70
Last column: nearest neighbours and their distance in Å.
Element x y z (fractional)
1 Tb 0.0000 0.0000 0.0000  10 Er 3.53-3.69, 2 Tb 3.69
2 Tb 0.2324 0.2324 0.0765  10 Er 3.36-3.73, 2 Tb 3.66-3.69
3 Tb 0.3016 0.3016 0.4911  8 Er 3.39-3.65, 2 Pr 3.55, 1 Tb 3.66
4 Tb 0.6984 0.6984 0.5089  8 Er 3.39-3.65, 2 Pr 3.55, 1 Tb 3.66
5 Tb 0.7676 0.7676 0.9235  10 Er 3.36-3.73, 2 Tb 3.66-3.69
6 Pr 0.3144 0.6856 0.5000  8 Er 3.38-3.60, 1 Pr 3.42, 2 Tb 3.55
7 Pr 0.6856 0.3144 0.5000  8 Er 3.38-3.60, 1 Pr 3.42, 2 Tb 3.55
8 Er 0.0244 0.6639 0.2539  5 Er 3.32-3.69, 1 Pr 3.41, 4 Tb 3.45-3.69
9 Er 0.0925 0.0925 0.3825  3 Tb 3.39-3.53, 2 Pr 3.40, 5 Er 3.50-3.62
10 Er 0.1820 0.5641 0.8473  4 Tb 3.36-3.69, 6 Er 3.38-3.69, 1 Pr 3.60
11 Er 0.3361 0.9756 0.7461  5 Er 3.32-3.69, 1 Pr 3.41, 4 Tb 3.45-3.69
12 Er 0.4359 0.8180 0.1527  4 Tb 3.36-3.69, 6 Er 3.38-3.69, 1 Pr 3.60
13 Er 0.4433 0.4433 0.1703  2 Pr 3.38, 7 Er 3.38-3.43, 2 Tb 3.39-3.56
14 Er 0.5567 0.5567 0.8297  2 Pr 3.38, 7 Er 3.38-3.43, 2 Tb 3.39-3.56
15 Er 0.5641 0.1820 0.8473  4 Tb 3.36-3.69, 6 Er 3.38-3.69, 1 Pr 3.60
16 Er 0.6639 0.0244 0.2539  5 Er 3.32-3.69, 1 Pr 3.41, 4 Tb 3.45-3.69
17 Er 0.8180 0.4359 0.1527  4 Tb 3.36-3.69, 6 Er 3.38-3.69, 1 Pr 3.60
18 Er 0.9075 0.9075 0.6175  3 Tb 3.39-3.53, 2 Pr 3.40, 5 Er 3.50-3.62
19 Er 0.9756 0.3361 0.7461  5 Er 3.32-3.69, 1 Pr 3.41, 4 Tb 3.45-3.69

E_tot (Ry/atom): -0.32853
N(E_F) (states/eV per cell): 26.8
Energy above the most stable polymorph in this dataset (eV/f.u.): 2.123
E_form (eV/atom): 0.134
Density (kg/m³): 8343

# 3
Density functional theory data (PBE-GGA) for a relaxed Tb12Pr5Er2 crystal.

Lattice parameters (Å, degrees): 10.0664 10.0664 8.7197 112.91 112.91 54.03
Last column: nearest neighbours and their distance in Å.
Element x y z (fractional)
1 Tb 0.0400 0.6696 0.0939  1 Er 3.32, 4 Tb 3.34-3.60, 2 Pr 3.49-3.65
2 Tb 0.0462 0.0462 0.1824  1 Tb 2.87, 1 Pr 3.13
3 Tb 0.1502 0.5966 0.5446  2 Pr 3.20-3.53, 1 Tb 3.34
4 Tb 0.3304 0.9600 0.9061  1 Er 3.32, 4 Tb 3.34-3.60, 2 Pr 3.49-3.65
5 Tb 0.4034 0.8498 0.4554  2 Pr 3.20-3.53, 1 Tb 3.34
6 Tb 0.4397 0.4397 0.2825  7 Tb 3.34-3.64, 2 Er 3.47, 1 Pr 3.67
7 Tb 0.5603 0.5603 0.7175  7 Tb 3.34-3.64, 2 Er 3.47, 1 Pr 3.67
8 Tb 0.5966 0.1502 0.5446  2 Pr 3.20-3.53, 1 Tb 3.34
9 Tb 0.6696 0.0400 0.0939  1 Er 3.32, 4 Tb 3.34-3.60, 2 Pr 3.49-3.65
10 Tb 0.8498 0.4034 0.4554  2 Pr 3.20-3.53, 1 Tb 3.34
11 Tb 0.9538 0.9538 0.8176  1 Tb 2.87, 1 Pr 3.13
12 Tb 0.9600 0.3304 0.9061  1 Er 3.32, 4 Tb 3.34-3.60, 2 Pr 3.49-3.65
13 Pr 0.0000 0.0000 0.5000  6 Tb 3.22-3.53
14 Pr 0.2375 0.2375 0.2939  5 Tb 3.13-3.49
15 Pr 0.2898 0.2898 0.7785  9 Tb 3.64-4.03, 2 Er 3.75, 1 Pr 3.91
16 Pr 0.7102 0.7102 0.2215  9 Tb 3.64-4.03, 2 Er 3.75, 1 Pr 3.91
17 Pr 0.7625 0.7625 0.7061  5 Tb 3.13-3.49
18 Er 0.3268 0.6732 0.0000  1 Er 3.17, 6 Tb 3.32-3.47
19 Er 0.6732 0.3268 0.0000  1 Er 3.17, 6 Tb 3.32-3.47

E_tot (Ry/atom): -0.32746
N(E_F) (states/eV per cell): 29.4
E_form (eV/atom): 0.207
Density (kg/m³): 7605

# 4
Density functional theory data (PBE-GGA) for a relaxed TbPr2Er crystal.

Lattice parameters (Å, degrees): 5.1528 5.1528 5.0571 90.00 90.00 90.00
Last column: nearest neighbours and their distance in Å.
Element x y z (fractional)
1 Tb 0.0000 0.0000 0.0000  8 Pr 3.61, 4 Er 3.64
2 Pr 0.0000 0.5000 0.5000  4 Tb 3.61, 4 Er 3.61, 4 Pr 3.64
3 Pr 0.5000 0.0000 0.5000  4 Tb 3.61, 4 Er 3.61, 4 Pr 3.64
4 Er 0.5000 0.5000 0.0000  8 Pr 3.61, 4 Tb 3.64

E_tot (Ry/atom): -0.34315
N(E_F) (states/eV per cell): 6.1
Energy above the most stable polymorph in this dataset (eV/f.u.): 0.025
E_form (eV/atom): 0.019
Density (kg/m³): 7519

# 5
Density functional theory data (PBE-GGA) for a relaxed Tb3Pr4Er2 crystal.

Lattice parameters (Å, degrees): 3.6252 3.6252 26.9039 90.00 90.00 120.00
Last column: nearest neighbours and their distance in Å.
Element x y z (fractional)
1 Tb 0.0000 0.0000 0.0000  6 Er 3.46-3.51, 6 Tb 3.63
2 Tb 0.0000 0.0000 0.3392  6 Pr 3.57-3.64, 6 Tb 3.63
3 Tb 0.6667 0.3333 0.6759  6 Pr 3.61-3.65, 6 Tb 3.63
4 Pr 0.0000 0.0000 0.5665  3 Tb 3.61, 9 Pr 3.63-3.77
5 Pr 0.0000 0.0000 0.7869  3 Er 3.59, 6 Pr 3.63, 3 Tb 3.65
6 Pr 0.6667 0.3333 0.2318  1 Er 3.48, 3 Tb 3.57, 6 Pr 3.63
7 Pr 0.6667 0.3333 0.4499  9 Pr 3.63-3.77, 3 Tb 3.64
8 Er 0.6667 0.3333 0.1024  3 Tb 3.46, 1 Pr 3.48, 6 Er 3.63
9 Er 0.6667 0.3333 0.8954  3 Tb 3.51, 3 Pr 3.59, 6 Er 3.63

E_tot (Ry/atom): -0.33941
N(E_F) (states/eV per cell): 16.6
Energy above the most stable polymorph in this dataset (eV/f.u.): 0.000
E_form (eV/atom): 0.064
Density (kg/m³): 7456

# 6
Density functional theory data (PBE-GGA) for a relaxed Tb4Pr2Er7 crystal.

Lattice parameters (Å, degrees): 6.0573 6.0573 13.3409 90.00 90.00 120.00
Last column: nearest neighbours and their distance in Å.
Element x y z (fractional)
1 Tb 0.0000 0.0000 0.1051  1 Tb 2.80
2 Tb 0.0000 0.0000 0.8949  1 Tb 2.80
3 Tb 0.3333 0.6667 0.0000  9 Tb 3.50-3.77
4 Tb 0.6667 0.3333 0.0000  9 Tb 3.50-3.77
5 Pr 0.3333 0.6667 0.5000  9 Er 3.49-3.50, 3 Pr 3.50
6 Pr 0.6667 0.3333 0.5000  9 Er 3.49-3.50, 3 Pr 3.50
7 Er 0.0000 0.0000 0.5000  6 Pr 3.50, 6 Er 3.57
8 Er 0.0000 0.3500 0.7157  1 Tb 3.19, 5 Er 3.41-3.57, 2 Pr 3.49
9 Er 0.0000 0.6500 0.2843  1 Tb 3.19, 5 Er 3.41-3.57, 2 Pr 3.49
10 Er 0.3500 0.0000 0.7157  1 Tb 3.19, 5 Er 3.41-3.57, 2 Pr 3.49
11 Er 0.3500 0.3500 0.2843  1 Tb 3.19, 5 Er 3.41-3.57, 2 Pr 3.49
12 Er 0.6500 0.0000 0.2843  1 Tb 3.19, 5 Er 3.41-3.57, 2 Pr 3.49
13 Er 0.6500 0.6500 0.7157  1 Tb 3.19, 5 Er 3.41-3.57, 2 Pr 3.49

E_tot (Ry/atom): -0.32583
N(E_F) (states/eV per cell): 17.8
E_form (eV/atom): 0.184
Density (kg/m³): 8180

# 7
Density functional theory data (PBE-GGA) for a relaxed Tb3Pr4Er8 crystal.

Lattice parameters (Å, degrees): 12.4943 12.4943 12.4943 32.33 32.33 32.33
Last column: nearest neighbours and their distance in Å.
Element x y z (fractional)
1 Tb 0.0000 0.5000 0.5000  6 Er 3.42-3.54, 4 Tb 3.48, 2 Pr 3.48
2 Tb 0.5000 0.0000 0.5000  6 Er 3.42-3.54, 4 Tb 3.48, 2 Pr 3.48
3 Tb 0.5000 0.5000 0.0000  6 Er 3.42-3.54, 2 Pr 3.48, 4 Tb 3.48
4 Pr 0.0000 0.0000 0.0000  6 Tb 3.48, 6 Er 3.54
5 Pr 0.1634 0.1634 0.1634  4 Er 3.26-3.52
6 Pr 0.5000 0.5000 0.5000  6 Er 3.61, 6 Pr 4.02
7 Pr 0.8366 0.8366 0.8366  4 Er 3.26-3.52
8 Er 0.2496 0.2496 0.7470  6 Er 3.46-3.50, 3 Pr 3.52-3.61, 2 Tb 3.54
9 Er 0.2496 0.7470 0.2496  6 Er 3.46-3.50, 3 Pr 3.52-3.61, 2 Tb 3.54
10 Er 0.2530 0.7504 0.7504  6 Er 3.46-3.50, 3 Pr 3.52-3.61, 2 Tb 3.54
11 Er 0.2553 0.2553 0.2553  1 Pr 3.26, 3 Tb 3.42, 6 Er 3.48
12 Er 0.7447 0.7447 0.7447  1 Pr 3.26, 3 Tb 3.42, 6 Er 3.48
13 Er 0.7470 0.2496 0.2496  6 Er 3.46-3.50, 3 Pr 3.52-3.61, 2 Tb 3.54
14 Er 0.7504 0.2530 0.7504  6 Er 3.46-3.50, 3 Pr 3.52-3.61, 2 Tb 3.54
15 Er 0.7504 0.7504 0.2530  6 Er 3.46-3.50, 3 Pr 3.52-3.61, 2 Tb 3.54

E_tot (Ry/atom): -0.33191
N(E_F) (states/eV per cell): 22.1
Energy above the most stable polymorph in this dataset (eV/f.u.): 0.000
E_form (eV/atom): 0.118
Density (kg/m³): 7964

# 8
Density functional theory data (PBE-GGA) for a relaxed Tb2Pr3Er2 crystal.

Lattice parameters (Å, degrees): 9.0179 9.0179 8.5935 117.96 117.96 22.59
Last column: nearest neighbours and their distance in Å.
Element x y z (fractional)
1 Tb 0.0643 0.0643 0.4105  3 Tb 3.30-3.53, 5 Pr 3.50-3.68, 4 Er 3.59-3.68
2 Tb 0.9357 0.9357 0.5895  3 Tb 3.30-3.53, 5 Pr 3.50-3.68, 4 Er 3.59-3.68
3 Pr 0.2861 0.2861 0.7033  5 Pr 3.40-3.56, 3 Tb 3.50-3.68, 3 Er 3.61-3.64
4 Pr 0.5000 0.5000 0.0000  4 Pr 3.40-3.53, 2 Er 3.52, 4 Tb 3.61
5 Pr 0.7139 0.7139 0.2967  5 Pr 3.40-3.56, 3 Tb 3.50-3.68, 3 Er 3.61-3.64
6 Er 0.3568 0.3568 0.1769  4 Pr 3.52-3.64, 2 Er 3.53, 4 Tb 3.59-3.68
7 Er 0.6432 0.6432 0.8231  4 Pr 3.52-3.64, 2 Er 3.53, 4 Tb 3.59-3.68

E_tot (Ry/atom): -0.33516
N(E_F) (states/eV per cell): 10.8
Energy above the most stable polymorph in this dataset (eV/f.u.): 0.516
E_form (eV/atom): 0.115
Density (kg/m³): 7572

# 9
Density functional theory data (PBE-GGA) for a relaxed Tb8PrEr6 crystal.

Lattice parameters (Å, degrees): 8.6095 8.6095 8.6095 63.04 63.04 63.04
Last column: nearest neighbours and their distance in Å.
Element x y z (fractional)
1 Tb 0.0768 0.0768 0.0768  4 Tb 3.16-3.40, 3 Er 3.34
2 Tb 0.2191 0.6112 0.2462  3 Er 3.39-3.78, 5 Tb 3.40-3.41, 1 Pr 3.51
3 Tb 0.2462 0.2191 0.6112  3 Er 3.39-3.78, 5 Tb 3.40-3.41, 1 Pr 3.51
4 Tb 0.3888 0.7538 0.7809  3 Er 3.39-3.78, 5 Tb 3.40-3.41, 1 Pr 3.51
5 Tb 0.6112 0.2462 0.2191  3 Er 3.39-3.78, 5 Tb 3.40-3.41, 1 Pr 3.51
6 Tb 0.7538 0.7809 0.3888  3 Er 3.39-3.78, 5 Tb 3.40-3.41, 1 Pr 3.51
7 Tb 0.7809 0.3888 0.7538  3 Er 3.39-3.78, 5 Tb 3.40-3.41, 1 Pr 3.51
8 Tb 0.9232 0.9232 0.9232  4 Tb 3.16-3.40, 3 Er 3.34
9 Pr 0.5000 0.5000 0.5000  6 Er 3.46, 6 Tb 3.51
10 Er 0.0366 0.6034 0.7399  3 Tb 3.34-3.40, 2 Er 3.45, 1 Pr 3.46
11 Er 0.2601 0.9634 0.3966  3 Tb 3.34-3.40, 2 Er 3.45, 1 Pr 3.46
12 Er 0.3966 0.2601 0.9634  3 Tb 3.34-3.40, 2 Er 3.45, 1 Pr 3.46
13 Er 0.6034 0.7399 0.0366  3 Tb 3.34-3.40, 2 Er 3.45, 1 Pr 3.46
14 Er 0.7399 0.0366 0.6034  3 Tb 3.34-3.40, 2 Er 3.45, 1 Pr 3.46
15 Er 0.9634 0.3966 0.2601  3 Tb 3.34-3.40, 2 Er 3.45, 1 Pr 3.46

E_tot (Ry/atom): -0.32911
N(E_F) (states/eV per cell): 22.8
E_form (eV/atom): 0.136
Density (kg/m³): 8329

# 10
Density functional theory data (PBE-GGA) for a relaxed Tb5Pr5Er2 crystal.

Lattice parameters (Å, degrees): 8.0851 8.0851 11.4453 115.05 115.05 36.83
Last column: nearest neighbours and their distance in Å.
Element x y z (fractional)
1 Tb 0.0000 0.0000 0.0000  6 Pr 3.59-3.61, 2 Tb 3.61, 4 Er 3.64
2 Tb 0.0812 0.0812 0.7488  2 Er 3.59, 3 Tb 3.60-3.63, 7 Pr 3.61-3.68
3 Tb 0.1673 0.1673 0.5003  5 Pr 3.59-3.62, 3 Er 3.60, 4 Tb 3.60-3.63
4 Tb 0.8327 0.8327 0.4997  5 Pr 3.59-3.62, 3 Er 3.60, 4 Tb 3.60-3.63
5 Tb 0.9188 0.9188 0.2512  2 Er 3.59, 3 Tb 3.60-3.63, 7 Pr 3.61-3.68
6 Pr 0.2488 0.2488 0.2512  6 Tb 3.59-3.65, 2 Er 3.61, 4 Pr 3.63-3.66
7 Pr 0.3358 0.3358 0.0013  5 Tb 3.59-3.68, 2 Er 3.60-3.63, 5 Pr 3.63-3.66
8 Pr 0.5000 0.5000 0.5000  2 Er 3.59, 8 Tb 3.61-3.62, 2 Pr 3.63
9 Pr 0.6642 0.6642 0.9987  5 Tb 3.59-3.68, 2 Er 3.60-3.63, 5 Pr 3.63-3.66
10 Pr 0.7512 0.7512 0.7488  6 Tb 3.59-3.65, 2 Er 3.61, 4 Pr 3.63-3.66
11 Er 0.4165 0.4165 0.7472  7 Tb 3.59-3.64, 5 Pr 3.59-3.63
12 Er 0.5835 0.5835 0.2528  7 Tb 3.59-3.64, 5 Pr 3.59-3.63

E_tot (Ry/atom): -0.34259
N(E_F) (states/eV per cell): 17.5
E_form (eV/atom): 0.020
Density (kg/m³): 7587

# 11
Density functional theory data (PBE-GGA) for a relaxed Tb3Pr8Er3 crystal.

Lattice parameters (Å, degrees): 9.8425 9.8425 9.8425 146.22 112.37 77.78
Last column: nearest neighbours and their distance in Å.
Element x y z (fractional)
1 Tb 0.0000 0.0000 0.0000  4 Er 3.59, 4 Tb 3.96, 4 Pr 4.02
2 Tb 0.1790 0.6790 0.5000  2 Er 3.49, 8 Pr 3.65-3.82
3 Tb 0.8210 0.3210 0.5000  2 Er 3.49, 8 Pr 3.65-3.82
4 Pr 0.1181 0.2755 0.8426  6 Pr 3.28-3.59, 2 Tb 3.65
5 Pr 0.2326 0.8961 0.3365  4 Pr 3.18-3.40
6 Pr 0.4330 0.2755 0.1574  6 Pr 3.28-3.59, 2 Tb 3.65
7 Pr 0.4404 0.1039 0.3365  4 Pr 3.18-3.40
8 Pr 0.5596 0.8961 0.6635  4 Pr 3.18-3.40
9 Pr 0.5670 0.7245 0.8426  6 Pr 3.28-3.59, 2 Tb 3.65
10 Pr 0.7674 0.1039 0.6635  4 Pr 3.18-3.40
11 Pr 0.8819 0.7245 0.1574  6 Pr 3.28-3.59, 2 Tb 3.65
12 Er 0.1976 0.5000 0.6976  1 Er 3.31, 4 Tb 3.49-3.59, 4 Pr 3.61
13 Er 0.5000 0.5000 0.0000  2 Er 3.31
14 Er 0.8024 0.5000 0.3024  1 Er 3.31, 4 Tb 3.49-3.59, 4 Pr 3.61

E_tot (Ry/atom): -0.33762
N(E_F) (states/eV per cell): 18.9
E_form (eV/atom): 0.107
Density (kg/m³): 7285

# 12
Density functional theory data (PBE-GGA) for a relaxed TbPrEr crystal.

Lattice parameters (Å, degrees): 8.2372 8.2372 3.4547 90.00 90.00 90.75
Last column: nearest neighbours and their distance in Å.
Element x y z (fractional)
1 Tb 0.2382 0.2382 0.0000  3 Er 3.03-3.25
2 Tb 0.7618 0.7618 0.0000  3 Er 3.03-3.25
3 Pr 0.2602 0.7398 0.5000  3 Er 3.05-3.30
4 Pr 0.7398 0.2602 0.5000  3 Er 3.05-3.30
5 Er 0.0000 0.0000 0.5000  2 Pr 3.05, 4 Tb 3.25
6 Er 0.5000 0.5000 0.0000  2 Tb 3.03, 4 Pr 3.30

E_tot (Ry/atom): -0.29516
N(E_F) (states/eV per cell): 9.1
Energy above the most stable polymorph in this dataset (eV/f.u.): 1.855
E_form (eV/atom): 0.642
Density (kg/m³): 6618